Material: YAlCdFe
Method: DFT, GGA-PBE
State: relaxed

Output
M_tot, μB per atom: 0.562
Space-group type: F-43m, No. 216

Unit cell a=4.7653 b=4.7653 c=4.7653 alpha=60.00 beta=60.00 gamma=60.00
Atoms (fractional coordinates):
Fe1 0.7500 0.7500 0.7500
Al1 0.0000 0.0000 0.0000
Cd1 0.2500 0.2500 0.2500
Y1 0.5000 0.5000 0.5000

Material: Li2CuPt
Method: DFT, GGA-PBE
State: relaxed

Output
M_tot, μB per atom: 0.000
Space-group type: F-43m, No. 216

Unit cell a=4.2015 b=4.2015 c=4.2015 alpha=60.00 beta=60.00 gamma=60.00
Atoms (fractional coordinates):
Cu1 0.2500 0.2500 0.2500
Li1 0.7500 0.7500 0.7500
Li2 0.0000 0.0000 0.0000
Pt1 0.5000 0.5000 0.5000

Material: AgPbO3
Method: DFT, GGA-PBE
State: relaxed

Output
Space-group type: R-3, No. 148

Unit cell a=5.7083 b=5.7083 c=6.0058 alpha=61.63 beta=61.63 gamma=60.00
Atoms (fractional coordinates):
Ag1 0.3567 0.3567 0.9299
O1 0.2424 0.9546 0.2552
O2 0.7576 0.0454 0.7448
O3 0.4522 0.7576 0.7448
Pb1 0.8551 0.8551 0.4346
O4 0.5478 0.2424 0.2552
Pb2 0.1449 0.1449 0.5654
O5 0.0454 0.4522 0.7448
Ag2 0.6433 0.6433 0.0701
O6 0.9546 0.5478 0.2552

Material: LuTaNb
Method: DFT, GGA-PBE
State: relaxed

Output
M_tot, μB per atom: 0.001
Space-group type: F-43m, No. 216
Formation enthalpy at 0 K, meV per atom: 868

Unit cell a=4.6495 b=4.6495 c=4.6495 alpha=60.00 beta=60.00 gamma=60.00
Atoms (fractional coordinates):
Ta1 0.7500 0.7500 0.7500
Lu1 0.2500 0.2500 0.2500
Nb1 0.0000 0.0000 0.0000

Material: LuFeAgSn
Method: DFT, GGA-PBE
State: relaxed

Output
M_tot, μB per atom: 0.444
Space-group type: F-43m, No. 216

Unit cell a=4.7105 b=4.7105 c=4.7105 alpha=60.00 beta=60.00 gamma=60.00
Atoms (fractional coordinates):
Ag1 0.2500 0.2500 0.2500
Fe1 0.7500 0.7500 0.7500
Sn1 0.0000 0.0000 0.0000
Lu1 0.5000 0.5000 0.5000

Material: NaNb2AgS4
Method: DFT, GGA-PBE
State: relaxed

Output
M_tot, μB per atom: 0.001
Space-group type: P-3m1, No. 164

Unit cell a=3.3846 b=3.3846 c=16.2582 alpha=90.00 beta=90.00 gamma=120.00
Atoms (fractional coordinates):
S1 0.0000 0.0000 0.6481
Nb1 0.3333 0.6667 0.2569
S2 0.0000 0.0000 0.3519
Ag1 0.0000 0.0000 0.5000
S3 0.0000 0.0000 0.8385
Nb2 0.6667 0.3333 0.7431
S4 0.0000 0.0000 0.1615
Na1 0.0000 0.0000 0.0000

Material: TmLuIn4
Method: DFT, GGA-PBE
State: relaxed

Output
M_tot, μB per atom: 0.001
Space-group type: Amm2, No. 38

Unit cell a=4.6033 b=7.4057 c=7.4057 alpha=35.89 beta=90.00 gamma=90.00
Atoms (fractional coordinates):
In1 0.5000 0.8240 0.8240
In2 0.5000 0.5001 0.5001
Tm1 0.0000 0.3442 0.3442
In3 0.0000 0.0000 0.0000
Lu1 0.0000 0.6557 0.6557
In4 0.5000 0.1758 0.1758

Material: LuBe2As
Method: DFT, GGA-PBE
State: relaxed

Output
M_tot, μB per atom: 0.000
Space-group type: F-43m, No. 216

Unit cell a=4.4999 b=4.4999 c=4.4999 alpha=60.00 beta=60.00 gamma=60.00
Atoms (fractional coordinates):
As1 0.5000 0.5000 0.5000
Be1 0.0000 0.0000 0.0000
Lu1 0.2500 0.2500 0.2500
Be2 0.7500 0.7500 0.7500

| no. | theoretical density (Mg/m³) | DFT total energy (hartree per atom) |
| --- | --- | --- |
| 1 | 6.167 | -0.1773 |
| 2 | 8.629 | -0.1388 |
| 3 | 8.510 | -0.1727 |
| 4 | 10.486 | -0.2923 |
| 5 | 10.277 | -0.1838 |
| 6 | 4.581 | -0.2202 |
| 7 | 9.012 | -0.1362 |
| 8 | 6.905 | -0.1439 |